7
Lattice="5.122 -1.862 0.000 5.122 1.862 0.000 -3.032 0.000 5.950" Properties=species:S:1:pos:R:3 comment="Dy2Si2Ni3, optimized geometry, DFT GGA-PBE" dos_at_fermi_per_ev_cell=4.6 e_tot_ev_per_fu=-42.38 raw_formation_energy_ev_per_fu=-4.98 pbc="T T T"
Dy 0.580 0.000 1.547
Dy 6.632 0.000 4.402
Si -0.712 0.000 4.283
Si 7.924 0.000 1.667
Ni 3.466 0.000 0.431
Ni 3.606 0.000 2.975
Ni 3.745 0.000 5.519